## Pr3YP4 (PBE)

Data for crystalline Pr3YP4 at its relaxed geometry. Values from VASP.

Cell and atoms, written as Quantum ESPRESSO input:
```
&SYSTEM
  ibrav = 0, nat = 16, ntyp = 3
/
ATOMIC_SPECIES
Pr 140.91 Pr.upf
Y 88.91 Y.upf
P 30.97 P.upf
CELL_PARAMETERS angstrom
8.316 0.000 0.000
0.000 11.756 0.000
0.000 0.000 4.162
ATOMIC_POSITIONS crystal
Pr 0.000 0.000 0.000
Pr 0.250 0.250 0.500
Pr 0.250 0.750 0.500
Pr 0.500 0.500 0.000
Pr 0.750 0.250 0.500
Pr 0.750 0.750 0.500
Y 0.000 0.500 0.000
Y 0.500 0.000 0.000
P 0.000 0.254 0.000
P 0.000 0.746 0.000
P 0.243 0.500 0.500
P 0.257 0.000 0.500
P 0.500 0.246 0.000
P 0.500 0.754 0.000
P 0.743 0.000 0.500
P 0.757 0.500 0.500
```

As for the total magnetic moment: 0.00 μB/cell. As for the energy above the most stable polymorph in this dataset: 0.00 eV per formula unit. As for the space-group type: Cmmm.

## Pr2YZrP4 (PBE)

Data for crystalline Pr2YZrP4 at its relaxed geometry. Values from VASP.

Cell and atoms, written as Quantum ESPRESSO input:
```
&SYSTEM
  ibrav = 0, nat = 8, ntyp = 4
/
ATOMIC_SPECIES
Pr 140.91 Pr.upf
Y 88.91 Y.upf
Zr 91.22 Zr.upf
P 30.97 P.upf
CELL_PARAMETERS angstrom
6.970 0.000 0.000
0.000 4.022 0.000
-2.304 0.000 6.604
ATOMIC_POSITIONS crystal
Pr 0.000 0.000 0.000
Pr 0.500 0.500 0.000
Y 0.000 0.500 0.500
Zr 0.500 0.000 0.500
P 0.253 0.000 0.732
P 0.265 0.500 0.273
P 0.735 0.500 0.727
P 0.747 0.000 0.268
```

As for the total magnetic moment: 0.00 μB/cell. As for the space-group type: P2/m.

## Pr2ZnP (PBE)

Data for crystalline Pr2ZnP at its relaxed geometry. Values from VASP.

Cell and atoms, written as Quantum ESPRESSO input:
```
&SYSTEM
  ibrav = 0, nat = 12, ntyp = 3
/
ATOMIC_SPECIES
Pr 140.91 Pr.upf
Zn 65.41 Zn.upf
P 30.97 P.upf
CELL_PARAMETERS angstrom
4.020 0.000 0.000
-2.010 3.481 0.000
0.000 0.000 28.948
ATOMIC_POSITIONS crystal
Pr 0.000 0.000 0.110
Pr 0.000 0.000 0.890
Pr 0.333 0.667 0.556
Pr 0.333 0.667 0.777
Pr 0.667 0.333 0.223
Pr 0.667 0.333 0.444
Zn 0.000 0.000 0.000
Zn 0.333 0.667 0.667
Zn 0.667 0.333 0.333
P 0.000 0.000 0.500
P 0.333 0.667 0.167
P 0.667 0.333 0.833
```

As for the total magnetic moment: 1.60 μB/cell. As for the energy above the most stable polymorph in this dataset: 1.31 eV per formula unit. As for the space-group type: R-3m.

## Pr2ZnP (PBE)

Data for crystalline Pr2ZnP at its relaxed geometry. Values from VASP.

Cell and atoms, written as Quantum ESPRESSO input:
```
&SYSTEM
  ibrav = 0, nat = 12, ntyp = 3
/
ATOMIC_SPECIES
Pr 140.91 Pr.upf
Zn 65.41 Zn.upf
P 30.97 P.upf
CELL_PARAMETERS angstrom
4.135 0.000 0.000
-2.067 3.581 0.000
0.000 0.000 22.688
ATOMIC_POSITIONS crystal
Pr 0.000 0.000 0.000
Pr 0.000 0.000 0.190
Pr 0.333 0.667 0.667
Pr 0.333 0.667 0.857
Pr 0.667 0.333 0.333
Pr 0.667 0.333 0.524
Zn 0.000 0.000 0.763
Zn 0.333 0.667 0.429
Zn 0.667 0.333 0.096
P 0.000 0.000 0.595
P 0.333 0.667 0.262
P 0.667 0.333 0.929
```

As for the total magnetic moment: 0.00 μB/cell. As for the energy above the most stable polymorph in this dataset: 0.00 eV per formula unit. As for the space-group type: R3m.

## Pr2ZnP (PBE)

Data for crystalline Pr2ZnP at its relaxed geometry. Values from VASP.

Cell and atoms, written as Quantum ESPRESSO input:
```
&SYSTEM
  ibrav = 0, nat = 4, ntyp = 3
/
ATOMIC_SPECIES
Pr 140.91 Pr.upf
Zn 65.41 Zn.upf
P 30.97 P.upf
CELL_PARAMETERS angstrom
3.761 0.000 0.000
0.000 3.761 0.000
0.000 0.000 6.885
ATOMIC_POSITIONS crystal
Pr 0.000 0.000 0.235
Pr 0.000 0.000 0.765
Zn 0.500 0.500 0.500
P 0.500 0.500 0.000
```

As for the total magnetic moment: 0.00 μB/cell. As for the energy above the most stable polymorph in this dataset: 0.25 eV per formula unit. As for the space-group type: P4/mmm.

## PrZn5P4 (PBE)

Data for crystalline PrZn5P4 at its relaxed geometry. Values from VASP.

Cell and atoms, written as Quantum ESPRESSO input:
```
&SYSTEM
  ibrav = 0, nat = 10, ntyp = 3
/
ATOMIC_SPECIES
Pr 140.91 Pr.upf
Zn 65.41 Zn.upf
P 30.97 P.upf
CELL_PARAMETERS angstrom
-1.991 3.648 6.736
1.991 -3.648 6.736
1.991 3.648 -6.736
ATOMIC_POSITIONS crystal
Pr 0.000 0.000 0.000
Zn 0.034 0.325 0.709
Zn 0.385 0.675 0.709
Zn 0.500 0.000 0.500
Zn 0.615 0.325 0.291
Zn 0.966 0.675 0.291
P 0.226 0.226 0.000
P 0.287 0.500 0.787
P 0.713 0.500 0.213
P 0.774 0.774 0.000
```

As for the total magnetic moment: 0.00 μB/cell. As for the space-group type: Immm.

## PrZrP2 (PBE)

Data for crystalline PrZrP2 at its relaxed geometry. Values from VASP.

Cell and atoms, written as Quantum ESPRESSO input:
```
&SYSTEM
  ibrav = 0, nat = 12, ntyp = 3
/
ATOMIC_SPECIES
Pr 140.91 Pr.upf
Zr 91.22 Zr.upf
P 30.97 P.upf
CELL_PARAMETERS angstrom
3.932 0.000 0.000
-1.966 3.405 0.000
0.000 0.000 19.667
ATOMIC_POSITIONS crystal
Pr 0.000 0.000 0.000
Pr 0.333 0.667 0.667
Pr 0.667 0.333 0.333
Zr 0.000 0.000 0.500
Zr 0.333 0.667 0.167
Zr 0.667 0.333 0.833
P 0.000 0.000 0.241
P 0.000 0.000 0.759
P 0.333 0.667 0.426
P 0.333 0.667 0.907
P 0.667 0.333 0.093
P 0.667 0.333 0.574
```

As for the total magnetic moment: 0.00 μB/cell. As for the energy above the most stable polymorph in this dataset: 0.00 eV per formula unit. As for the space-group type: R-3m.

## PrZrP2 (PBE)

Data for crystalline PrZrP2 at its relaxed geometry. Values from VASP.

Cell and atoms, written as Quantum ESPRESSO input:
```
&SYSTEM
  ibrav = 0, nat = 12, ntyp = 3
/
ATOMIC_SPECIES
Pr 140.91 Pr.upf
Zr 91.22 Zr.upf
P 30.97 P.upf
CELL_PARAMETERS angstrom
3.867 0.000 0.000
-1.934 3.349 0.000
0.000 0.000 20.589
ATOMIC_POSITIONS crystal
Pr 0.000 0.000 0.000
Pr 0.333 0.667 0.667
Pr 0.667 0.333 0.333
Zr 0.000 0.000 0.826
Zr 0.333 0.667 0.493
Zr 0.667 0.333 0.159
P 0.000 0.000 0.235
P 0.000 0.000 0.422
P 0.333 0.667 0.089
P 0.333 0.667 0.902
P 0.667 0.333 0.569
P 0.667 0.333 0.756
```

As for the total magnetic moment: 0.00 μB/cell. As for the energy above the most stable polymorph in this dataset: 0.42 eV per formula unit. As for the space-group type: R3m.

## P3Pt (PBE)

Data for crystalline P3Pt at its relaxed geometry. Values from VASP.

Cell and atoms, written as Quantum ESPRESSO input:
```
&SYSTEM
  ibrav = 0, nat = 16, ntyp = 2
/
ATOMIC_SPECIES
P 30.97 P.upf
Pt 195.08 Pt.upf
CELL_PARAMETERS angstrom
6.174 0.000 0.000
0.000 6.174 0.000
0.000 0.000 6.174
ATOMIC_POSITIONS crystal
P 0.000 0.000 0.000
P 0.000 0.500 0.500
P 0.250 0.250 0.250
P 0.250 0.250 0.750
P 0.250 0.750 0.250
P 0.250 0.750 0.750
P 0.500 0.000 0.500
P 0.500 0.500 0.000
P 0.750 0.250 0.250
P 0.750 0.250 0.750
P 0.750 0.750 0.250
P 0.750 0.750 0.750
Pt 0.000 0.000 0.500
Pt 0.000 0.500 0.000
Pt 0.500 0.000 0.000
Pt 0.500 0.500 0.500
```

As for the total magnetic moment: 0.00 μB/cell. As for the energy above the most stable polymorph in this dataset: 2.70 eV per formula unit. As for the space-group type: Fm-3m.

## P3Pt (PBE)

Data for crystalline P3Pt at its relaxed geometry. Values from VASP.

Cell and atoms, written as Quantum ESPRESSO input:
```
&SYSTEM
  ibrav = 0, nat = 12, ntyp = 2
/
ATOMIC_SPECIES
P 30.97 P.upf
Pt 195.08 Pt.upf
CELL_PARAMETERS angstrom
3.425 0.000 0.000
-1.713 2.966 0.000
0.000 0.000 17.696
ATOMIC_POSITIONS crystal
P 0.000 0.000 0.000
P 0.000 0.000 0.252
P 0.000 0.000 0.748
P 0.333 0.667 0.414
P 0.333 0.667 0.667
P 0.333 0.667 0.919
P 0.667 0.333 0.081
P 0.667 0.333 0.333
P 0.667 0.333 0.586
Pt 0.000 0.000 0.500
Pt 0.333 0.667 0.167
Pt 0.667 0.333 0.833
```

As for the total magnetic moment: 0.00 μB/cell. As for the energy above the most stable polymorph in this dataset: 0.44 eV per formula unit. As for the space-group type: R-3m.

## P3Pt5 (PBE)

Data for crystalline P3Pt5 at its relaxed geometry. Values from VASP.

Cell and atoms, written as Quantum ESPRESSO input:
```
&SYSTEM
  ibrav = 0, nat = 16, ntyp = 2
/
ATOMIC_SPECIES
P 30.97 P.upf
Pt 195.08 Pt.upf
CELL_PARAMETERS angstrom
0.000 6.335 3.794
5.665 0.000 3.794
5.665 6.335 0.000
ATOMIC_POSITIONS crystal
P 0.167 0.833 0.167
P 0.283 0.283 0.217
P 0.497 0.770 0.503
P 0.770 0.497 0.230
P 0.783 0.783 0.717
P 0.833 0.167 0.833
Pt 0.096 0.211 0.114
Pt 0.211 0.096 0.580
Pt 0.214 0.835 0.416
Pt 0.388 0.388 0.612
Pt 0.420 0.886 0.789
Pt 0.466 0.584 0.165
Pt 0.584 0.466 0.786
Pt 0.835 0.214 0.534
Pt 0.875 0.875 0.125
Pt 0.886 0.420 0.904
```

As for the total magnetic moment: 0.00 μB/cell. As for the energy above the most stable polymorph in this dataset: 0.00 eV per formula unit. As for the space-group type: Fmm2.

## P2Pt5 (PBE)

Data for crystalline P2Pt5 at its relaxed geometry. Values from VASP.

Cell and atoms, written as Quantum ESPRESSO input:
```
&SYSTEM
  ibrav = 0, nat = 14, ntyp = 2
/
ATOMIC_SPECIES
P 30.97 P.upf
Pt 195.08 Pt.upf
CELL_PARAMETERS angstrom
6.716 -2.624 0.000
6.716 2.624 0.000
-1.012 0.000 6.365
ATOMIC_POSITIONS crystal
P 0.060 0.609 0.760
P 0.391 0.940 0.740
P 0.609 0.060 0.260
P 0.940 0.391 0.240
Pt 0.013 0.823 0.088
Pt 0.177 0.987 0.412
Pt 0.191 0.474 0.398
Pt 0.423 0.577 0.750
Pt 0.474 0.191 0.898
Pt 0.526 0.809 0.102
Pt 0.577 0.423 0.250
Pt 0.809 0.526 0.602
Pt 0.823 0.013 0.588
Pt 0.987 0.177 0.912
```

As for the total magnetic moment: 0.00 μB/cell. As for the energy above the most stable polymorph in this dataset: 0.83 eV per formula unit. As for the space-group type: C2/c.

no.,formation enthalpy at 0 K (eV/atom)
1,-1.534
2,-1.493
3,-0.450
4,-0.779
5,-0.716
6,-0.269
7,-1.420
8,-1.315
9,0.455
10,-0.110
11,-0.259
12,-0.282